# MoN2O2 (PBE with a Hubbard U, optimized geometry)
# * total magnetization: 2.00 μB per formula unit
# * energy relative to the lowest polymorph listed for this composition: 0 meV per atom
# * energy: -32.1 eV for the cell shown
data_MoN2O2
_space_group_name_H-M_alt 'P 1'
_space_group_IT_number 1
_space_group_name_Hall 'P 1'
_cell_length_a 4.311
_cell_length_b 4.311
_cell_length_c 4.051
_cell_angle_alpha 57.85
_cell_angle_beta 57.85
_cell_angle_gamma 90.00
loop_
_atom_site_label
_atom_site_type_symbol
_atom_site_fract_x
_atom_site_fract_y
_atom_site_fract_z
Mo1 Mo 0.000 0.000 0.000
O1 O 0.750 0.250 0.500
O2 O 0.250 0.750 0.500
N1 N 0.395 0.395 0.209
N2 N 0.605 0.605 0.791